w.
P3PdO PBE relaxed; space group = No. 221; spin magnetization = 2.3 μB per formula unit
1.0
4.6645 0.0000 0.0000
0.0000 4.6645 0.0000
0.0000 0.0000 4.6645
P Pd O
3 1 1
Direct
0.0000 0.0000 0.5000 P
0.0000 0.5000 0.0000 P
0.5000 0.0000 0.0000 P
0.0000 0.0000 0.0000 Pd
0.5000 0.5000 0.5000 O



x.
P3PdO PBE relaxed; space group = No. 221; spin magnetization = 0.0 μB per formula unit
1.0
4.1448 0.0000 0.0000
0.0000 4.1448 0.0000
0.0000 0.0000 4.1448
P Pd O
3 1 1
Direct
0.0000 0.0000 0.5000 P
0.0000 0.5000 0.0000 P
0.5000 0.0000 0.0000 P
0.5000 0.5000 0.5000 Pd
0.0000 0.0000 0.0000 O



The most stable arrangement is x, and the next structure is 825 meV per atom less stable.